Material: Rb2TeWF6
Method: DFT, GGA+U
State: optimized geometry

Lattice parameters (Å, degrees): 7.238 7.238 7.085 59.28 59.28 90.00
Site moments in Bohr magnetons follow the coordinates.
Fractional coordinates of all 10 atoms:
Rb (0.750, 0.250, 0.500)  0.00
F (0.805, 0.805, 0.000)  0.03
W (0.000, 0.000, 0.000)  1.95
F (0.790, 0.790, 0.421)  0.07
F (0.195, 0.805, 0.000)  0.03
F (0.195, 0.195, 0.000)  0.03
F (0.210, 0.210, 0.579)  0.07
Te (0.500, 0.500, 0.000)  0.93
F (0.805, 0.195, 0.000)  0.03
Rb (0.250, 0.750, 0.500)  0.00

Properties
**DFT total energy**: -4.581 eV/atom
**DOS at the Fermi energy**: 6.647 states/eV/f.u.
**Total magnetic moment**: 4.0 μB/f.u.